Record 1
Here is an optimized crystal structure of Sm3Dy2PuSe6 from Alexandria. Energies are from PBE.

The structure in extended XYZ format:
```
12
Lattice="9.024 -2.055 0.000 9.024 2.055 0.000 -1.943 0.000 8.082" Properties=species:S:1:pos:R:3 pbc="T T T"
Sm 0.000 0.000 0.000
Sm 4.752 0.000 5.377
Sm 11.352 0.000 2.705
Dy 5.733 0.000 1.387
Dy 10.371 0.000 6.695
Pu -0.971 0.000 4.041
Se 1.868 0.000 4.762
Se 2.914 0.000 0.631
Se 8.505 0.000 2.030
Se 7.599 0.000 6.052
Se 13.190 0.000 7.451
Se 14.236 0.000 3.320
```

Output
DFT total energy	-6.65	eV/atom
M_tot	6.0	μB/cell

Record 2
Here is an optimized crystal structure of AcMgPtO6 from Alexandria. Energies are from PBE.

The structure in extended XYZ format:
```
9
Lattice="5.324 0.000 0.000 -2.662 4.610 0.000 0.000 0.000 5.334" Properties=species:S:1:pos:R:3 pbc="T T T"
Ac 0.000 0.000 0.000
Mg 0.000 3.074 2.667
Pt 2.662 1.537 2.667
O 1.963 0.084 3.775
O 1.054 1.658 1.559
O 3.361 0.084 1.559
O 1.753 2.868 3.775
O 4.269 1.658 3.775
O 3.570 2.868 1.559
```

Output
DFT total energy	-6.21	eV/atom
M_tot	2.5	μB/cell